# 1
A plane-wave DFT calculation with GGA-PBE was carried out for a relaxed structure of HfInSe3.

a b c (Å): 5.124 5.124 5.124
angles (deg): 90.00 90.00 90.00
Fractional positions:
Hf 0.500 0.500 0.500
Se 0.000 0.500 0.000
Se 0.000 0.000 0.500
Se 0.500 0.000 0.000
In 0.000 0.000 0.000

N(E_F) = 0.52 states/eV per atom
ΔE to the lowest computed polymorph = 1314.6 meV per atom
Space-group type = Pm-3m, No. 221
Uncorrected energy = -21.00 eV/cell

***

# 2
A plane-wave DFT calculation with GGA-PBE was carried out for a relaxed structure of HfIn3Se.

a b c (Å): 5.649 5.649 5.649
angles (deg): 90.00 90.00 90.00
Fractional positions:
Hf 0.000 0.000 0.000
Se 0.500 0.500 0.500
In 0.000 0.500 0.000
In 0.000 0.000 0.500
In 0.500 0.000 0.000

N(E_F) = 1.71 states/eV per atom
ΔE to the lowest computed polymorph = 0.0 meV per atom
Space-group type = Pm-3m, No. 221
Uncorrected energy = -17.99 eV/cell

***

# 3
A plane-wave DFT calculation with GGA-PBE was carried out for a relaxed structure of HfIn2Se4.

a b c (Å): 6.475 6.475 6.475
angles (deg): 108.62 108.62 111.20
Each line ends with the local moment (μB).
Fractional positions:
Hf 0.500 0.500 0.000  0.63
In 0.250 0.750 0.500  0.04
In 0.750 0.250 0.500  0.04
Se 0.318 0.199 0.516  0.02
Se 0.801 0.318 0.119  0.02
Se 0.199 0.682 0.881  0.02
Se 0.682 0.801 0.484  0.02

N(E_F) = 0.66 states/eV per atom
Space-group type = I4/m, No. 87
Uncorrected energy = -32.28 eV/cell

***

# 4
A plane-wave DFT calculation with GGA-PBE was carried out for a relaxed structure of Hf3In2Se6.

a b c (Å): 6.467 6.470 8.403
angles (deg): 82.56 74.98 60.01
Fractional positions:
Hf 0.000 0.000 0.000
Hf 0.332 0.337 0.000
Hf 0.668 0.663 0.000
In 0.166 0.668 0.500
In 0.834 0.332 0.500
Se 0.401 0.667 0.799
Se 0.734 0.000 0.800
Se 0.067 0.333 0.799
Se 0.266 0.000 0.200
Se 0.599 0.333 0.201
Se 0.933 0.667 0.201

N(E_F) = 0.50 states/eV per atom
Space-group type = C2/m, No. 12
Uncorrected energy = -67.58 eV/cell

***

# 5
A plane-wave DFT calculation with GGA-PBE was carried out for a relaxed structure of HfInSe.

a b c (Å): 3.494 3.508 13.157
angles (deg): 90.00 90.00 119.87
Each line ends with the local moment (μB).
Fractional positions:
Hf 0.459 0.918 0.000  0.02
Hf 0.429 0.858 0.500  0.08
Se 0.760 0.521 0.367  0.00
Se 0.760 0.521 0.633  0.00
In 0.129 0.258 0.823  0.01
In 0.129 0.258 0.177  0.01

N(E_F) = 0.86 states/eV per atom
Space-group type = Amm2, No. 38
Uncorrected energy = -35.26 eV/cell

***

# 6
A plane-wave DFT calculation with GGA-PBE was carried out for a relaxed structure of HfInSe3.

a b c (Å): 6.893 6.893 7.643
angles (deg): 63.19 63.19 60.00
Fractional positions:
Hf 0.340 0.340 0.981
Hf 0.660 0.660 0.019
In 0.135 0.135 0.594
In 0.865 0.865 0.406
Se 0.069 0.466 0.756
Se 0.709 0.069 0.756
Se 0.534 0.291 0.244
Se 0.291 0.931 0.244
Se 0.931 0.534 0.244
Se 0.466 0.709 0.756

N(E_F) = 0.44 states/eV per atom
ΔE to the lowest computed polymorph = 0.0 meV per atom
Space-group type = R-3, No. 148
Uncorrected energy = -55.15 eV/cell

***

# 7
A plane-wave DFT calculation with GGA-PBE was carried out for a relaxed structure of Hf4InSe8.

a b c (Å): 7.501 7.501 9.042
angles (deg): 65.49 65.49 60.00
Fractional positions:
Hf 0.000 0.500 0.000
Hf 0.500 0.500 0.000
Hf 0.500 0.000 0.000
Hf 0.000 0.000 0.000
In 0.500 0.500 0.500
Se 0.736 0.233 0.798
Se 0.767 0.264 0.202
Se 0.264 0.767 0.202
Se 0.767 0.767 0.202
Se 0.733 0.733 0.800
Se 0.267 0.267 0.200
Se 0.233 0.233 0.798
Se 0.233 0.736 0.798

N(E_F) = 0.23 states/eV per atom
Space-group type = R-3m, No. 166
Uncorrected energy = -86.60 eV/cell

***

# 8
A plane-wave DFT calculation with GGA-PBE was carried out for a relaxed structure of Hf2InSe6.

a b c (Å): 6.415 6.415 11.849
angles (deg): 90.00 90.00 90.00
Fractional positions:
Hf 0.500 0.500 0.338
Hf 0.500 0.500 0.662
Hf 0.000 0.000 0.162
Hf 0.000 0.000 0.838
In 0.500 0.500 0.000
In 0.000 0.000 0.500
Se 0.703 0.703 0.175
Se 0.703 0.703 0.825
Se 0.695 0.695 0.500
Se 0.805 0.195 0.000
Se 0.797 0.203 0.325
Se 0.797 0.203 0.675
Se 0.203 0.797 0.325
Se 0.203 0.797 0.675
Se 0.195 0.805 0.000
Se 0.305 0.305 0.500
Se 0.297 0.297 0.175
Se 0.297 0.297 0.825

N(E_F) = 0.62 states/eV per atom
Space-group type = P4_2/mnm, No. 136
Uncorrected energy = -102.36 eV/cell

***

# 9
A plane-wave DFT calculation with GGA-PBE was carried out for a relaxed structure of HfInSe3.

a b c (Å): 5.226 5.226 5.226
angles (deg): 90.00 90.00 90.00
Fractional positions:
Hf 0.000 0.000 0.000
Se 0.000 0.500 0.000
Se 0.000 0.000 0.500
Se 0.500 0.000 0.000
In 0.500 0.500 0.500

N(E_F) = 0.47 states/eV per atom
ΔE to the lowest computed polymorph = 212.5 meV per atom
Space-group type = Pm-3m, No. 221
Uncorrected energy = -26.51 eV/cell

***

# 10
A plane-wave DFT calculation with GGA-PBE was carried out for a relaxed structure of HfIn3Se.

a b c (Å): 5.313 5.313 5.313
angles (deg): 90.00 90.00 90.00
Fractional positions:
Hf 0.500 0.500 0.500
Se 0.000 0.000 0.000
In 0.000 0.500 0.000
In 0.000 0.000 0.500
In 0.500 0.000 0.000

N(E_F) = 1.27 states/eV per atom
ΔE to the lowest computed polymorph = 54.1 meV per atom
Space-group type = Pm-3m, No. 221
Uncorrected energy = -17.72 eV/cell

***

# 11
A plane-wave DFT calculation with GGA-PBE was carried out for a relaxed structure of Hf2InSe.

a b c (Å): 4.897 4.897 4.897
angles (deg): 60.00 60.00 60.00
Fractional positions:
Hf 0.250 0.250 0.250
Hf 0.750 0.750 0.750
Se 0.000 0.000 0.000
In 0.500 0.500 0.500

N(E_F) = 1.55 states/eV per atom
ΔE to the lowest computed polymorph = 322.0 meV per atom
Space-group type = Fm-3m, No. 225
Uncorrected energy = -26.80 eV/cell

***

# 12
A plane-wave DFT calculation with GGA-PBE was carried out for a relaxed structure of Hf3InSe6.

a b c (Å): 3.749 11.963 11.855
angles (deg): 107.34 90.00 90.00
Fractional positions:
Hf 0.750 0.358 0.473
Hf 0.250 0.642 0.527
Hf 0.750 0.730 0.297
Hf 0.250 0.270 0.703
Hf 0.750 0.961 0.849
Hf 0.250 0.039 0.151
In 0.750 0.624 0.903
In 0.250 0.376 0.097
Se 0.750 0.169 0.546
Se 0.250 0.831 0.454
Se 0.750 0.139 0.049
Se 0.250 0.861 0.951
Se 0.750 0.747 0.682
Se 0.250 0.253 0.318
Se 0.750 0.531 0.363
Se 0.250 0.469 0.637
Se 0.750 0.356 0.866
Se 0.250 0.644 0.134
Se 0.750 0.942 0.246
Se 0.250 0.058 0.754

N(E_F) = 0.23 states/eV per atom
Space-group type = P2_1/m, No. 11
Uncorrected energy = -129.48 eV/cell

***

It is found that the energy relative to the elements, uncorrected values, taken in the order of the records, are 41; 71; -40; -99; -47; -86; -120; -82; -65; 76; -16; -108 kJ per mole of atoms.
It is found that the total magnetization values, taken in the order of the records, are 0.000; 0.000; 0.190; 0.000; 0.033; 0.000; 0.000; 0.000; 0.000; 0.000; 0.000; 0.000 μB per atom.